(1)
5
Lattice="5.182 0.000 0.000 0.000 5.182 0.000 0.000 0.000 5.457" Properties=species:S:1:pos:R:3 comment="PBE CaLa2CdFe, relaxed" dos_at_fermi_per_ev_cell=5.70 formation_energy_ev_per_fu=-0.03 pbc="T T T"
Ca 0.000 0.000 0.000
La 0.000 2.591 2.728
La 2.591 0.000 2.728
Cd 2.591 2.591 0.000
Fe 2.591 2.591 2.728

(2)
18
Lattice="6.138 0.000 0.000 -3.069 5.316 0.000 0.000 0.000 8.725" Properties=species:S:1:pos:R:3 comment="PBE AgHgIrF6, relaxed" dos_at_fermi_per_ev_cell=6.07 formation_energy_uncorrected_mev_per_atom=-1306.8 pbc="T T T"
Ag 0.000 0.000 0.000
Ag 0.000 0.000 4.362
Hg 0.000 3.544 2.181
Hg 3.069 1.772 6.543
Ir 0.000 3.544 6.543
Ir 3.069 1.772 2.181
F -0.868 2.045 5.530
F -1.732 3.541 7.556
F 0.868 2.045 7.556
F -0.864 5.045 5.530
F 2.205 0.271 1.168
F 1.337 1.774 3.194
F 1.732 3.541 5.530
F 0.864 5.045 7.556
F 3.933 0.271 3.194
F 2.201 3.270 1.168
F 4.801 1.774 1.168
F 3.937 3.270 3.194

(3)
5
Lattice="4.541 0.000 0.000 0.000 4.541 0.000 0.000 0.000 4.541" Properties=species:S:1:pos:R:3 comment="PBE ScBeAs3, relaxed" dos_at_fermi_per_ev_cell=3.81 formation_energy_ev_per_fu=0.37 pbc="T T T"
Sc 0.000 0.000 0.000
Be 2.271 2.271 2.271
As 0.000 2.271 2.271
As 2.271 0.000 2.271
As 2.271 2.271 0.000

(4)
4
Lattice="2.782 0.000 0.000 0.000 3.918 0.000 -1.190 0.000 5.655" Properties=species:S:1:pos:R:3 comment="PBE CaCo2Ni, relaxed" dos_at_fermi_per_ev_cell=5.30 formation_energy_ev_per_fu=1.24 pbc="T T T"
Ca 0.000 0.000 0.000
Co 0.380 0.000 2.745
Co 1.582 1.959 2.112
Ni 0.184 1.959 4.099

(5)
12
Lattice="3.707 0.000 0.000 -1.853 3.210 0.000 0.000 0.000 21.556" Properties=species:S:1:pos:R:3 comment="PBE CuRuSe2, relaxed" dos_at_fermi_per_ev_cell=16.68 formation_energy_uncorrected_mev_per_atom=-18.9 pbc="T T T"
Cu 0.000 0.000 0.000
Cu 0.000 2.140 14.371
Cu 1.853 1.070 7.185
Ru 0.000 0.000 10.778
Ru 0.000 2.140 3.593
Ru 1.853 1.070 17.963
Se 0.000 0.000 2.286
Se 0.000 0.000 19.270
Se 0.000 2.140 12.085
Se 0.000 2.140 16.657
Se 1.853 1.070 4.899
Se 1.853 1.070 9.471

(6)
14
Lattice="-2.166 5.131 6.464 2.166 -5.131 6.464 2.166 5.131 -6.464" Properties=species:S:1:pos:R:3 comment="PBE Ac3Zn2Pd9, relaxed" dos_at_fermi_per_ev_cell=6.32 formation_energy_ev_per_fu=-9.38 pbc="T T T"
Ac 0.000 0.000 0.000
Ac 0.000 0.000 4.087
Ac 0.000 0.000 8.842
Zn 2.166 2.774 0.000
Zn 0.000 2.356 6.464
Pd 2.166 -1.393 2.303
Pd 2.166 -2.296 5.002
Pd 2.166 1.393 2.303
Pd 0.000 2.834 1.462
Pd 0.000 5.131 0.000
Pd 2.166 2.296 5.002
Pd 0.000 3.737 4.161
Pd 0.000 7.427 1.462
Pd 0.000 6.524 4.161